one.
An optimized crystal structure of Fe5Mo3, computed with GGA-PBE.

Results
space-group type	Cmmm (65)
M_tot	0.463	μB per formula unit

abc: 5.286 5.286 3.667
angles: 90.00 90.00 91.72
Each line ends with the local moment (μB).
Element x y z (fractional)
Fe 0.000 0.000 0.000  -1.35
Fe 0.500 0.000 0.000  1.83
Fe 0.000 0.500 0.000  1.83
Fe 0.757 0.757 0.500  -1.46
Fe 0.243 0.243 0.500  -1.46
Mo 0.500 0.500 0.000  -0.01
Mo 0.764 0.236 0.500  0.07
Mo 0.236 0.764 0.500  0.07

two.
An optimized crystal structure of Fe5Mo3, computed with GGA-PBE.

Results
space-group type	P2_1/m (11)
M_tot	3.845	μB per formula unit

abc: 8.265 8.316 4.637
angles: 90.00 90.00 42.04
Each line ends with the local moment (μB).
Element x y z (fractional)
Mo 0.607 0.958 0.250  -0.01
Mo 0.393 0.042 0.750  -0.01
Mo 0.379 0.622 0.250  -0.12
Mo 0.041 0.394 0.250  -0.03
Mo 0.959 0.606 0.750  -0.03
Mo 0.621 0.378 0.750  -0.12
Fe 0.638 0.644 0.999  -0.86
Fe 0.362 0.357 0.499  -0.86
Fe 0.362 0.357 0.001  -0.86
Fe 0.638 0.644 0.501  -0.86
Fe 0.247 0.994 0.250  1.60
Fe 0.753 0.006 0.750  1.60
Fe 0.871 0.124 0.250  2.61
Fe 0.011 0.745 0.250  1.55
Fe 0.989 0.255 0.750  1.55
Fe 0.129 0.876 0.750  2.61

The energetic minimum among the shown structures is one; the next structure lies 11.7 kJ/mol of atoms above.